The following is a DFT calculation (GGA-PBE) of a relaxed NbInAgTeS2 crystal.

Results
**E**: -4.8440 eV per atom
**ρ**: 5.75 g/cm3

Cell: 8.0178 8.0178 10.6344 Å, 90.00 90.00 154.61°
With the nearest neighbours (Å) after each atom.
Fractional coordinates of all 12 atoms:
Nb 0.0000 0.0000 0.0000  4 S 2.51
Nb 0.0000 0.0000 0.5000  4 S 2.51
In 0.2331 0.7669 0.7500  2 Ag 3.22, 2 Te 3.36, 4 S 3.47, 2 In 3.52
In 0.7669 0.2331 0.2500  2 Ag 3.22, 2 Te 3.36, 4 S 3.47, 2 In 3.52
Ag 0.4389 0.5611 0.2500  2 S 2.46
Ag 0.5611 0.4389 0.7500  2 S 2.46
Te 0.0843 0.9157 0.2500  2 Ag 2.88, 2 Nb 2.97
Te 0.9157 0.0843 0.7500  2 Ag 2.88, 2 Nb 2.97
S 0.3875 0.6125 0.0316  1 Ag 2.46, 2 Nb 2.51
S 0.3875 0.6125 0.4684  1 Ag 2.46, 2 Nb 2.51
S 0.6125 0.3875 0.5316  1 Ag 2.46, 2 Nb 2.51
S 0.6125 0.3875 0.9684  1 Ag 2.46, 2 Nb 2.51